First-principles (PBE) data for a relaxed structure of LiMn2Au, as listed in Alexandria.

Lattice parameters (Å, degrees): 2.826 4.061 5.484 90.00 90.00 90.00
Atoms (fractional coordinates):
Li1 0.000 0.000 0.000
Mn1 0.500 0.500 0.253
Mn2 0.500 0.500 0.747
Au1 0.000 0.000 0.500

Values from the calculation:
Size of the total moment ... 1.954 μB per atom
Uncorrected energy ... -22.82 eV/cell
Energy above the lowest structure with this stoichiometry ... 166 meV/atom
Volume ... 62.9 Å³ per cell
Crystal system ... orthorhombic